Entry 1:
VASP calculation (PBE-GGA) on crystalline K2MnTl at its relaxed geometry.

Unit cell a=6.7069 b=6.7069 c=4.9103 alpha=68.55 beta=68.55 gamma=42.94
Positions (direct):
Mn (0.7500, 0.7500, 0.7500)
Tl (0.2500, 0.2500, 0.2500)
K (0.5008, 0.5008, 0.4992)
K (0.9992, 0.9992, 0.0008)

Values from the calculation:
final energy	-2.878	eV per atom
total magnetization	3.998	μB per cell
ΔE_f	0.554	eV/atom


Entry 2:
VASP calculation (PBE-GGA) on crystalline Zr2CdP at its relaxed geometry.

Unit cell a=4.7889 b=4.7889 c=4.7889 alpha=60.00 beta=60.00 gamma=60.00
Positions (direct):
P (0.0000, 0.0000, 0.0000)
Zr (0.2500, 0.2500, 0.2500)
Zr (0.7500, 0.7500, 0.7500)
Cd (0.5000, 0.5000, 0.5000)

Values from the calculation:
final energy	-6.122	eV per atom
total magnetization	0.000	μB per cell
ΔE_f	-0.267	eV/atom


Entry 3:
VASP calculation (PBE-GGA) on crystalline ThGa2Ni2 at its relaxed geometry.

Unit cell a=4.1831 b=4.1831 c=9.8119 alpha=90.00 beta=90.00 gamma=90.00
Positions (direct):
Ni (0.5000, 0.0000, 0.8666)
Ni (0.0000, 0.5000, 0.1334)
Ni (0.0000, 0.0000, 0.5000)
Ni (0.5000, 0.5000, 0.5000)
Ga (0.5000, 0.5000, 0.0000)
Ga (0.0000, 0.5000, 0.3765)
Ga (0.5000, 0.0000, 0.6235)
Ga (0.0000, 0.0000, 0.0000)
Th (0.5000, 0.0000, 0.2541)
Th (0.0000, 0.5000, 0.7459)

Values from the calculation:
final energy	-5.592	eV per atom
total magnetization	0.000	μB per cell
ΔE_f	-0.585	eV/atom


Entry 4:
VASP calculation (PBE-GGA) on crystalline LiZnF at its relaxed geometry.

Unit cell a=2.8424 b=3.0526 c=12.0071 alpha=90.00 beta=90.00 gamma=117.75
Positions (direct):
Li (0.2337, 0.4674, 0.2440)
Li (0.2337, 0.4674, 0.7560)
F (0.5528, 0.1057, 0.2715)
F (0.5528, 0.1057, 0.7285)
Zn (0.5467, 0.0933, 0.0000)
Zn (0.5468, 0.0937, 0.5000)

Values from the calculation:
final energy	-3.321	eV per atom
total magnetization	0.000	μB per cell
E_form (uncorrected)	-4.9	eV/f.u.


Entry 5:
VASP calculation (PBE-GGA) on crystalline Ac2CuAu at its relaxed geometry.

Unit cell a=4.8176 b=6.2287 c=8.4579 alpha=110.57 beta=90.00 gamma=90.00
Positions (direct):
Ac (0.2500, 0.7723, 0.5703)
Ac (0.7500, 0.2210, 0.9313)
Ac (0.7500, 0.2277, 0.4297)
Ac (0.2500, 0.7790, 0.0687)
Cu (0.7500, 0.6468, 0.7880)
Cu (0.2500, 0.3532, 0.2120)
Au (0.2500, 0.3482, 0.7130)
Au (0.7500, 0.6518, 0.2870)

Values from the calculation:
final energy	-4.371	eV per atom
total magnetization	0.000	μB per cell
ΔE_f	-0.473	eV/atom


Entry 6:
VASP calculation (PBE-GGA) on crystalline Tb4Pm5Er2 at its relaxed geometry.

Unit cell a=7.3310 b=6.6663 c=10.0275 alpha=64.07 beta=68.56 gamma=56.64
Positions (direct):
Tb (0.3036, 0.8920, 0.5007)
Tb (0.6663, 0.7856, 0.8819)
Tb (0.3337, 0.2144, 0.1181)
Tb (0.6964, 0.1080, 0.4993)
Pm (0.6534, 0.3642, 0.7692)
Pm (0.3466, 0.6358, 0.2308)
Pm (0.7868, 0.6358, 0.2308)
Pm (0.2132, 0.3642, 0.7692)
Pm (0.0000, 0.5000, 0.5000)
Er (0.8547, 0.1730, 0.1177)
Er (0.1453, 0.8270, 0.8823)

Values from the calculation:
final energy	-4.551	eV per atom
total magnetization	0.000	μB per cell
ΔE_f	0.122	eV/atom


Entry 7:
VASP calculation (PBE-GGA) on crystalline AgSBrCl2 at its relaxed geometry.

Unit cell a=4.8680 b=5.2494 c=4.8680 alpha=90.00 beta=90.00 gamma=90.00
Positions (direct):
Ag (0.5000, 0.5000, 0.5000)
S (0.0000, 0.0000, 0.0000)
Cl (0.0000, 0.0000, 0.5000)
Cl (0.5000, 0.0000, 0.0000)
Br (0.0000, 0.5000, 0.0000)

Values from the calculation:
final energy	-2.309	eV per atom
total magnetization	0.000	μB per cell
E_form (uncorrected)	0.8	eV/f.u.


Entry 8:
VASP calculation (PBE-GGA) on crystalline AcMgZnNi at its relaxed geometry.

Unit cell a=5.0216 b=5.0216 c=5.0216 alpha=60.00 beta=60.00 gamma=60.00
Positions (direct):
Zn (0.7500, 0.7500, 0.7500)
Mg (0.5000, 0.5000, 0.5000)
Ac (0.0000, 0.0000, 0.0000)
Ni (0.2500, 0.2500, 0.2500)

Values from the calculation:
final energy	-3.290	eV per atom
total magnetization	0.000	μB per cell
ΔE_f	-0.100	eV/atom


Entry 9:
VASP calculation (PBE-GGA) on crystalline PmGa6Ag4 at its relaxed geometry.

Unit cell a=4.2937 b=7.5646 c=7.5646 alpha=120.00 beta=90.00 gamma=90.00
Positions (direct):
Ga (0.0000, 0.9269, 0.4634)
Ga (0.5000, 0.1992, 0.8008)
Ga (0.0000, 0.5366, 0.4634)
Ga (0.5000, 0.1992, 0.3984)
Ga (0.0000, 0.5366, 0.0731)
Ga (0.5000, 0.6016, 0.8008)
Ag (0.0000, 0.3333, 0.6667)
Ag (0.5000, 0.7976, 0.2024)
Ag (0.5000, 0.7976, 0.5951)
Ag (0.5000, 0.4049, 0.2024)
Pm (0.0000, 0.0000, 0.0000)

Values from the calculation:
final energy	-3.257	eV per atom
total magnetization	0.000	μB per cell
ΔE_f	-0.137	eV/atom


Entry 10:
VASP calculation (PBE-GGA) on crystalline Hg4BS5 at its relaxed geometry.

Unit cell a=5.9405 b=6.6682 c=6.6682 alpha=78.56 beta=63.55 gamma=63.55
Positions (direct):
S (0.7287, 0.1961, 0.2988)
S (0.0275, 0.7012, 0.1961)
S (0.3823, 0.0000, 0.0000)
S (0.9248, 0.2988, 0.8039)
S (0.2237, 0.8039, 0.7012)
Hg (0.2539, 0.1814, 0.3955)
Hg (0.6495, 0.6045, 0.1814)
Hg (0.4353, 0.3955, 0.8186)
Hg (0.8308, 0.8186, 0.6045)
B (0.0537, 0.0000, 0.0000)

Values from the calculation:
final energy	-2.706	eV per atom
total magnetization	0.000	μB per cell
E_form (uncorrected)	1.5	eV/f.u.


Entry 11:
VASP calculation (PBE-GGA) on crystalline Cs2CrSnOs at its relaxed geometry.

Unit cell a=6.7083 b=5.2161 c=6.7083 alpha=90.00 beta=90.00 gamma=90.00
Positions (direct):
Sn (0.0000, 0.5000, 0.0000)
Cr (0.0000, 0.0000, 0.0000)
Os (0.5000, 0.5000, 0.5000)
Cs (0.5000, 0.0000, 0.0000)
Cs (0.0000, 0.0000, 0.5000)

Values from the calculation:
final energy	-3.670	eV per atom
total magnetization	6.603	μB per cell
ΔE_f	1.642	eV/atom


Entry 12:
VASP calculation (PBE-GGA) on crystalline PrHoEr6 at its relaxed geometry.

Unit cell a=6.5202 b=6.4946 c=7.5554 alpha=64.93 beta=63.29 gamma=89.76
Positions (direct):
Er (0.0892, 0.7643, 0.4715)
Er (0.4444, 0.2682, 0.4651)
Er (0.5556, 0.7318, 0.5349)
Er (0.4978, 0.2525, 0.0011)
Er (0.9108, 0.2357, 0.5285)
Er (0.5022, 0.7475, 0.9989)
Pr (0.0000, 0.0000, 0.0000)
Ho (0.0000, 0.5000, 0.0000)

Values from the calculation:
final energy	-4.384	eV per atom
total magnetization	0.000	μB per cell
ΔE_f	0.208	eV/atom


Entry 13:
VASP calculation (PBE-GGA) on crystalline ZnCdMo at its relaxed geometry.

Unit cell a=2.8792 b=2.8792 c=7.1611 alpha=90.00 beta=90.00 gamma=120.00
Positions (direct):
Mo (0.3333, 0.6667, 0.3471)
Zn (0.6667, 0.3333, 0.6535)
Cd (0.0000, 0.0000, 0.9994)

Values from the calculation:
final energy	-4.035	eV per atom
total magnetization	0.000	μB per cell
ΔE_f	0.305	eV/atom


Entry 14:
VASP calculation (PBE-GGA) on crystalline Zn2CrB at its relaxed geometry.

Unit cell a=6.9007 b=6.9007 c=5.3441 alpha=49.79 beta=49.79 gamma=90.00
Positions (direct):
B (0.5000, 0.5000, 0.0000)
B (0.2500, 0.7500, 0.5000)
Zn (0.2042, 0.6250, 0.2500)
Zn (0.3750, 0.4542, 0.7500)
Zn (0.8750, 0.7958, 0.7500)
Zn (0.5458, 0.1250, 0.2500)
Cr (0.7500, 0.2500, 0.5000)
Cr (0.0000, 0.0000, 0.0000)

Values from the calculation:
final energy	-4.208	eV per atom
total magnetization	3.719	μB per cell
ΔE_f	0.504	eV/atom


Entry 15:
VASP calculation (PBE-GGA) on crystalline BiAsO3 at its relaxed geometry.

Unit cell a=4.2380 b=4.2380 c=4.2380 alpha=90.00 beta=90.00 gamma=90.00
Positions (direct):
Bi (0.0000, 0.0000, 0.0000)
O (0.0000, 0.0000, 0.5000)
O (0.0000, 0.5000, 0.0000)
O (0.5000, 0.0000, 0.0000)
As (0.5000, 0.5000, 0.5000)

Values from the calculation:
final energy	-4.736	eV per atom
total magnetization	0.000	μB per cell
E_form (uncorrected)	-0.3	eV/f.u.


Entry 16:
VASP calculation (PBE-GGA) on crystalline Rb4SbF at its relaxed geometry.

Unit cell a=7.1491 b=10.7757 c=8.6730 alpha=115.77 beta=97.54 gamma=116.89
Positions (direct):
Rb (0.7924, 0.7587, 0.7278)
Rb (0.0978, 0.2249, 0.8214)
Rb (0.2236, 0.5965, 0.8214)
Rb (0.9022, 0.7751, 0.1786)
Rb (0.7764, 0.4035, 0.1786)
Rb (0.4354, 0.9690, 0.7278)
Rb (0.2076, 0.2413, 0.2722)
Rb (0.5646, 0.0310, 0.2722)
Sb (0.6014, 0.3514, 0.7028)
Sb (0.3986, 0.6486, 0.2972)
F (0.2497, 0.9997, 0.9993)
F (0.7503, 0.0003, 0.0007)

Values from the calculation:
final energy	-2.690	eV per atom
total magnetization	0.000	μB per cell
E_form (uncorrected)	-6.3	eV/f.u.


Entry 17:
VASP calculation (PBE-GGA) on crystalline TbPrGdHo at its relaxed geometry.

Unit cell a=5.7261 b=5.7261 c=5.7261 alpha=60.00 beta=60.00 gamma=60.00
Positions (direct):
Pr (0.2500, 0.2500, 0.2500)
Tb (0.0000, 0.0000, 0.0000)
Ho (0.5000, 0.5000, 0.5000)
Gd (0.7500, 0.7500, 0.7500)

Values from the calculation:
final energy	-6.903	eV per atom
total magnetization	7.958	μB per cell
ΔE_f	0.114	eV/atom


Entry 18:
VASP calculation (PBE-GGA) on crystalline PrAg3Pb3 at its relaxed geometry.

Unit cell a=7.7475 b=7.7475 c=7.7475 alpha=90.00 beta=90.00 gamma=90.00
Positions (direct):
Ag (0.0000, 0.2500, 0.5000)
Ag (0.0000, 0.7500, 0.5000)
Ag (0.7500, 0.5000, 0.0000)
Ag (0.2500, 0.5000, 0.0000)
Ag (0.5000, 0.0000, 0.2500)
Ag (0.5000, 0.0000, 0.7500)
Pr (0.0000, 0.0000, 0.0000)
Pr (0.5000, 0.5000, 0.5000)
Pb (0.5000, 0.7500, 0.0000)
Pb (0.2500, 0.0000, 0.5000)
Pb (0.7500, 0.0000, 0.5000)
Pb (0.0000, 0.5000, 0.2500)
Pb (0.0000, 0.5000, 0.7500)
Pb (0.5000, 0.2500, 0.0000)

Values from the calculation:
final energy	-3.093	eV per atom
total magnetization	0.000	μB per cell
ΔE_f	0.401	eV/atom


Entry 19:
VASP calculation (PBE-GGA) on crystalline Ge6OsRh at its relaxed geometry.

Unit cell a=4.3894 b=6.5403 c=6.2759 alpha=66.31 beta=72.84 gamma=66.27
Positions (direct):
Ge (0.6293, 0.2369, 0.2641)
Ge (0.9561, 0.4323, 0.7591)
Ge (0.5987, 0.0681, 0.7480)
Ge (0.4013, 0.9319, 0.2520)
Ge (0.0439, 0.5677, 0.2409)
Ge (0.3707, 0.7631, 0.7359)
Rh (0.5000, 0.5000, 0.5000)
Os (0.0000, 0.0000, 0.0000)

Values from the calculation:
final energy	-5.750	eV per atom
total magnetization	0.000	μB per cell
ΔE_f	0.035	eV/atom


Entry 20:
VASP calculation (PBE-GGA) on crystalline SrUHgBr6 at its relaxed geometry.

Unit cell a=7.6708 b=7.6708 c=17.8278 alpha=90.00 beta=90.00 gamma=120.00
Positions (direct):
Br (0.0281, 0.3801, 0.6584)
Br (0.3520, 0.9719, 0.6584)
Br (0.9719, 0.3520, 0.1584)
Br (0.3801, 0.3520, 0.3416)
Br (0.0281, 0.6480, 0.8416)
Br (0.6480, 0.0281, 0.3416)
Br (0.3520, 0.3801, 0.8416)
Br (0.9719, 0.6199, 0.3416)
Br (0.6199, 0.6480, 0.6584)
Br (0.3801, 0.0281, 0.1584)
Br (0.6199, 0.9719, 0.8416)
Br (0.6480, 0.6199, 0.1584)
Sr (0.6667, 0.3333, 0.7500)
Sr (0.3333, 0.6667, 0.2500)
U (0.3333, 0.6667, 0.7500)
U (0.6667, 0.3333, 0.2500)
Hg (0.0000, 0.0000, 0.5000)
Hg (0.0000, 0.0000, 0.0000)

Values from the calculation:
final energy	-4.007	eV per atom
total magnetization	4.000	μB per cell
E_form (uncorrected)	-12.8	eV/f.u.


Entry 21:
VASP calculation (PBE-GGA) on crystalline HoZn10Ag at its relaxed geometry.

Unit cell a=4.3336 b=5.0908 c=9.1214 alpha=90.00 beta=90.00 gamma=90.00
Positions (direct):
Ag (0.0000, 0.0000, 0.0000)
Zn (0.5000, 0.2580, 0.2606)
Zn (0.0000, 0.5000, 0.1558)
Zn (0.0000, 0.5000, 0.8442)
Zn (0.5000, 0.2580, 0.7394)
Zn (0.5000, 0.7420, 0.2606)
Zn (0.5000, 0.7420, 0.7394)
Zn (0.0000, 0.0000, 0.6916)
Zn (0.0000, 0.0000, 0.3084)
Zn (0.5000, 0.5000, 0.0000)
Zn (0.5000, 0.0000, 0.5000)
Ho (0.0000, 0.5000, 0.5000)

Values from the calculation:
final energy	-1.778	eV per atom
total magnetization	0.000	μB per cell
ΔE_f	-0.097	eV/atom


Entry 22:
VASP calculation (PBE-GGA) on crystalline LaAu5 at its relaxed geometry.

Unit cell a=4.8290 b=4.8290 c=10.2243 alpha=132.35 beta=132.35 gamma=59.22
Positions (direct):
La (0.8056, 0.8056, 0.1111)
Au (0.3056, 0.3056, 0.6111)
Au (0.3968, 0.3968, 0.3839)
Au (0.7306, 0.7306, 0.3876)
Au (0.8805, 0.8805, 0.8346)
Au (0.2143, 0.2143, 0.8383)

Values from the calculation:
final energy	-4.000	eV per atom
total magnetization	0.000	μB per cell
ΔE_f	-0.448	eV/atom


Entry 23:
VASP calculation (PBE-GGA) on crystalline CeEr2Ni9 at its relaxed geometry.

Unit cell a=4.9520 b=4.9520 c=16.1952 alpha=90.00 beta=90.00 gamma=120.00
Positions (direct):
Ni (0.0000, 0.0000, 0.2500)
Ni (0.3347, 0.1673, 0.8750)
Ni (0.0000, 0.0000, 0.5000)
Ni (0.1673, 0.3347, 0.1250)
Ni (0.1673, 0.8327, 0.1250)
Ni (0.6667, 0.3333, 0.7500)
Ni (0.8327, 0.1673, 0.6250)
Ni (0.3347, 0.1673, 0.6250)
Ni (0.1673, 0.8327, 0.3750)
Ni (0.0000, 0.0000, 0.0000)
Ni (0.6653, 0.8327, 0.3750)
Ni (0.0000, 0.0000, 0.7500)
Ni (0.6653, 0.8327, 0.1250)
Ni (0.8327, 0.6653, 0.6250)
Ni (0.1673, 0.3347, 0.3750)
Ni (0.3333, 0.6667, 0.2500)
Ni (0.8327, 0.1673, 0.8750)
Ni (0.8327, 0.6653, 0.8750)
Er (0.6667, 0.3333, 0.4594)
Er (0.3333, 0.6667, 0.5406)
Er (0.3333, 0.6667, 0.9594)
Er (0.6667, 0.3333, 0.0406)
Ce (0.6667, 0.3333, 0.2500)
Ce (0.3333, 0.6667, 0.7500)

Values from the calculation:
final energy	-6.023	eV per atom
total magnetization	0.000	μB per cell
ΔE_f	-0.432	eV/atom


For each record above, in turn, the calculated calculated volume values are 34.59; 19.41; 17.17; 15.37; 29.70; 33.00; 24.88; 22.38; 19.34; 21.17; 46.95; 31.49; 17.14; 12.97; 15.22; 40.82; 33.19; 33.22; 18.64; 50.47; 16.77; 21.58; 14.33 Å³ per atom.